Computed, not measured: Y3Tl at its PBEsol-relaxed geometry at the meta-GGA SCAN level of DFT.

Geometry as CIF:
```
data_Y3Tl
_symmetry_space_group_name_H-M 'P 1'
_symmetry_Int_Tables_number 1
_cell_length_a 5.448
_cell_length_b 6.541
_cell_length_c 6.149
_cell_angle_alpha 90.00
_cell_angle_beta 90.00
_cell_angle_gamma 90.00
loop_
_symmetry_equiv_pos_as_xyz
'x,y,z'
loop_
_atom_site_label
_atom_site_type_symbol
_atom_site_fract_x
_atom_site_fract_y
_atom_site_fract_z
_atom_site_occupancy
Y1 Y 0.250 0.005 0.139 1
Y2 Y 0.250 0.250 0.623 1
Y3 Y 0.250 0.495 0.139 1
Y4 Y 0.750 0.505 0.861 1
Y5 Y 0.750 0.750 0.377 1
Y6 Y 0.750 0.995 0.861 1
Tl1 Tl 0.250 0.750 0.660 1
Tl2 Tl 0.750 0.250 0.340 1
```

Properties
The uncorrected energy comes out at -39.28 eV per atom. As for the space-group type: Pmmn.



Computed, not measured: Y2Tl at its PBEsol-relaxed geometry at the meta-GGA SCAN level of DFT.

Geometry as CIF:
```
data_Y2Tl
_symmetry_space_group_name_H-M 'P 1'
_symmetry_Int_Tables_number 1
_cell_length_a 7.273
_cell_length_b 7.273
_cell_length_c 6.584
_cell_angle_alpha 90.00
_cell_angle_beta 90.00
_cell_angle_gamma 90.00
loop_
_symmetry_equiv_pos_as_xyz
'x,y,z'
loop_
_atom_site_label
_atom_site_type_symbol
_atom_site_fract_x
_atom_site_fract_y
_atom_site_fract_z
_atom_site_occupancy
Y1 Y 0.169 0.331 0.000 1
Y2 Y 0.169 0.669 0.500 1
Y3 Y 0.331 0.169 0.500 1
Y4 Y 0.331 0.831 0.000 1
Y5 Y 0.669 0.169 0.000 1
Y6 Y 0.669 0.831 0.500 1
Y7 Y 0.831 0.331 0.500 1
Y8 Y 0.831 0.669 0.000 1
Tl1 Tl 0.000 0.000 0.250 1
Tl2 Tl 0.000 0.000 0.750 1
Tl3 Tl 0.500 0.500 0.250 1
Tl4 Tl 0.500 0.500 0.750 1
```

Properties
The uncorrected energy comes out at -43.13 eV per atom. As for the space-group type: I4/mcm.



Computed, not measured: Y2Tl at its PBEsol-relaxed geometry at the meta-GGA SCAN level of DFT.

Geometry as CIF:
```
data_Y2Tl
_symmetry_space_group_name_H-M 'P 1'
_symmetry_Int_Tables_number 1
_cell_length_a 15.645
_cell_length_b 15.645
_cell_length_c 15.645
_cell_angle_alpha 163.05
_cell_angle_beta 163.05
_cell_angle_gamma 24.06
loop_
_symmetry_equiv_pos_as_xyz
'x,y,z'
loop_
_atom_site_label
_atom_site_type_symbol
_atom_site_fract_x
_atom_site_fract_y
_atom_site_fract_z
_atom_site_occupancy
Y1 Y 0.038 0.788 0.250 1
Y2 Y 0.118 0.368 0.750 1
Y3 Y 0.212 0.962 0.250 1
Y4 Y 0.368 0.118 0.250 1
Y5 Y 0.632 0.882 0.750 1
Y6 Y 0.788 0.038 0.750 1
Y7 Y 0.882 0.632 0.250 1
Y8 Y 0.962 0.212 0.750 1
Tl1 Tl 0.298 0.548 0.750 1
Tl2 Tl 0.452 0.702 0.750 1
Tl3 Tl 0.548 0.298 0.250 1
Tl4 Tl 0.702 0.452 0.250 1
```

Properties
The uncorrected energy comes out at -43.09 eV per atom. As for the space-group type: I4_1/amd.



| no. | density of states at the Fermi level (states/eV per atom) | magnetic moment (Bohr magnetons per cell) | energy of formation (eV per atom) |
| --- | --- | --- | --- |
| 1 | 0.837 | 0.00 | -0.312 |
| 2 | 1.037 | 5.83 | -0.452 |
| 3 | 0.807 | 0.00 | -0.412 |